TbNd2ErIn2 | the Alexandria database | GGA-PBE | relaxed; crystal system = orthorhombic; electronic total energy = -4.384 eV per atom; formation energy from the elements = -350 meV/atom
1.0
5.256 0.000 0.000
0.000 9.996 0.000
0.000 0.000 6.815
Tb Nd Er In
2 4 2 4
Direct
0.000 0.038 0.000
0.000 0.962 0.500
0.000 0.319 0.347
0.000 0.681 0.847
0.500 0.461 0.068
0.500 0.539 0.568
0.500 0.178 0.723
0.500 0.822 0.223
0.000 0.347 0.822
0.000 0.653 0.322
0.500 0.135 0.248
0.500 0.865 0.748

---

FeSbMo2Os | the Alexandria database | GGA-PBE | relaxed; crystal system = tetragonal; electronic total energy = -7.759 eV per atom; ΔE_f (raw) = 1336.2 meV per atom
1.0
4.403 0.000 0.000
0.000 4.403 0.000
0.000 0.000 4.579
Fe Sb Mo Os
1 1 2 1
Direct
0.000 0.000 0.000
0.000 0.000 0.500
0.000 0.500 0.000
0.500 0.000 0.000
0.500 0.500 0.500

---

Ho5Cd4Ni | the Alexandria database | GGA-PBE | relaxed; crystal system = tetragonal; electronic total energy = -3.557 eV per atom; formation energy from the elements = -324 meV/atom
1.0
3.578 0.000 0.000
0.000 3.578 0.000
0.000 0.000 19.126
Ho Cd Ni
5 4 1
Direct
0.000 0.000 0.000
0.000 0.000 0.207
0.000 0.000 0.417
0.000 0.000 0.583
0.000 0.000 0.793
0.500 0.500 0.103
0.500 0.500 0.310
0.500 0.500 0.690
0.500 0.500 0.897
0.500 0.500 0.500

---

MnPbAu2 | the Alexandria database | GGA-PBE | relaxed; crystal system = monoclinic; electronic total energy = -4.754 eV per atom; formation energy from the elements = 104 meV/atom
1.0
4.633 -1.843 0.000
4.633 1.843 0.000
-1.303 0.000 4.908
Mn Pb Au
1 1 2
Direct
0.000 0.000 0.000
0.233 0.233 0.674
0.477 0.477 0.397
0.730 0.730 0.153